AlBiOs3: optimized geometry, PBE.

Lattice parameters (Å, degrees): 4.5477 4.5477 4.5477 90.00 90.00 90.00
Last column: nearest neighbours and their distance in Å.
Sites, in units of the cell vectors:
Os1 0.0000 0.0000 0.5000  2 Al 2.27
Os2 0.5000 0.0000 0.0000  2 Al 2.27
Bi1 0.5000 0.5000 0.5000  12 Os 3.22
Al1 0.0000 0.0000 0.0000  6 Os 2.27
Os3 0.0000 0.5000 0.0000  2 Al 2.27

Output
The value obtained for the energy above the most stable polymorph in this dataset is 0 meV/atom. Its total magnetization is 0.34 μB/f.u. The value obtained for the formation energy from the elements is 728 kJ/mol of formula units. Its space group is Pm-3m.

***

CaNbIn2Ru: optimized geometry, PBE.

Lattice parameters (Å, degrees): 5.1732 4.8812 5.1732 90.00 90.00 90.00
Last column: nearest neighbours and their distance in Å.
Sites, in units of the cell vectors:
Nb1 0.0000 0.5000 0.0000  2 Ru 2.44
In1 0.5000 0.0000 0.0000  2 Ru 2.59
In2 0.0000 0.0000 0.5000  2 Ru 2.59
Ru1 0.0000 0.0000 0.0000  2 Nb 2.44, 4 In 2.59
Ca1 0.5000 0.5000 0.5000  8 In 3.56, 4 Nb 3.66

Output
Its total magnetization is 1.54 μB/f.u. The value obtained for the formation energy from the elements is 126 kJ/mol of formula units. Its space group is P4/mmm.

***

VAgTeN2: optimized geometry, PBE.

Lattice parameters (Å, degrees): 3.8309 3.8309 5.7853 90.00 90.00 90.00
Last column: nearest neighbours and their distance in Å.
Sites, in units of the cell vectors:
N1 0.5000 0.0000 0.0000  2 V 1.92
Te1 0.0000 0.0000 0.5000  4 Ag 2.71, 2 V 2.89
Ag1 0.5000 0.5000 0.5000  4 Te 2.71
V1 0.0000 0.0000 0.0000  4 N 1.92
N2 0.0000 0.5000 0.0000  2 V 1.92

Output
The value obtained for the energy above the most stable polymorph in this dataset is 0 meV/atom. Its total magnetization is 0.48 μB/f.u. The uncorrected formation energy comes out at 40.2 kJ/mol of atoms. Its space group is P4/mmm.

***

V2Tc: optimized geometry, PBE.

Lattice parameters (Å, degrees): 3.0081 3.0081 5.0005 107.42 107.42 90.10
Last column: nearest neighbours and their distance in Å.
Sites, in units of the cell vectors:
V1 0.8339 0.8339 0.6679  4 Tc 2.60-2.61, 4 V 2.61-2.62
Tc1 0.5000 0.5000 0.0000  8 V 2.60-2.61
V2 0.1661 0.1661 0.3321  4 Tc 2.60-2.61, 4 V 2.61-2.62

Output
The value obtained for the energy above the most stable polymorph in this dataset is 0 meV/atom. Its total magnetization is 0.00 μB/f.u. The value obtained for the formation energy from the elements is -97 kJ/mol of formula units. Its space group is Fmmm.

***

LiSn3Pt: optimized geometry, PBE.

Lattice parameters (Å, degrees): 4.8244 5.6468 9.1263 90.01 89.99 110.94
Last column: nearest neighbours and their distance in Å.
Sites, in units of the cell vectors:
Sn1 0.6629 0.3106 0.9828  2 Pt 2.70-2.93
Sn2 0.3371 0.6894 0.0172  2 Pt 2.70-2.93
Sn3 0.9195 0.7764 0.7500  2 Pt 2.66-2.68, 1 Li 2.95
Pt1 0.5130 0.9938 0.7500  6 Sn 2.66-2.93, 1 Li 2.95
Sn4 0.6630 0.3106 0.5172  2 Pt 2.70-2.93
Sn5 0.3370 0.6894 0.4828  2 Pt 2.70-2.93
Li1 0.1703 0.3348 0.7500  8 Sn 2.95-3.23, 2 Pt 2.95-3.07
Li2 0.8297 0.6652 0.2500  8 Sn 2.95-3.23, 2 Pt 2.95-3.07
Pt2 0.4870 0.0062 0.2500  6 Sn 2.66-2.93, 1 Li 2.95
Sn6 0.0805 0.2236 0.2500  2 Pt 2.66-2.68, 1 Li 2.95

Output
The value obtained for the energy above the most stable polymorph in this dataset is 0 meV/atom. Its total magnetization is 0.00 μB/f.u. The value obtained for the formation energy from the elements is -166 kJ/mol of formula units. Its space group is P2_1/m.

***

ZrSc2Tc: optimized geometry, PBE.

Lattice parameters (Å, degrees): 4.8173 4.8173 4.8173 60.00 60.00 60.00
Last column: nearest neighbours and their distance in Å.
Sites, in units of the cell vectors:
Tc1 0.5000 0.5000 0.5000  8 Sc 2.95
Sc1 0.2500 0.2500 0.2500  4 Tc 2.95, 4 Zr 2.95
Zr1 0.0000 0.0000 0.0000  8 Sc 2.95
Sc2 0.7500 0.7500 0.7500  4 Zr 2.95, 4 Tc 2.95

Output
The value obtained for the energy above the most stable polymorph in this dataset is 278 meV/atom. Its total magnetization is 1.18 μB/f.u. The value obtained for the formation energy from the elements is 40 kJ/mol of formula units. Its space group is Fm-3m.

***

La4PmMg5: optimized geometry, PBE.

Lattice parameters (Å, degrees): 3.9427 3.9427 19.7428 90.00 90.00 90.00
Last column: nearest neighbours and their distance in Å.
Sites, in units of the cell vectors:
Mg1 0.5000 0.5000 0.5000  8 La 3.43
Mg2 0.5000 0.5000 0.0947  4 Pm 3.36, 4 La 3.44, 1 Mg 3.74
Mg3 0.5000 0.5000 0.9053  4 Pm 3.36, 4 La 3.44, 1 Mg 3.74
La1 0.0000 0.0000 0.3986  8 Mg 3.43
La2 0.0000 0.0000 0.8034  8 Mg 3.43-3.44
La3 0.0000 0.0000 0.1966  8 Mg 3.43-3.44
Pm1 0.0000 0.0000 0.0000  8 Mg 3.36
La4 0.0000 0.0000 0.6014  8 Mg 3.43
Mg4 0.5000 0.5000 0.7023  8 La 3.43
Mg5 0.5000 0.5000 0.2977  8 La 3.43

Output
Its total magnetization is 0.00 μB/f.u. The value obtained for the formation energy from the elements is -109 kJ/mol of formula units. Its space group is P4/mmm.

***

MgZrBe2: optimized geometry, PBE.

Lattice parameters (Å, degrees): 9.1533 9.1533 9.1533 18.18 18.18 18.18
Last column: nearest neighbours and their distance in Å.
Sites, in units of the cell vectors:
Be1 0.9983 0.9983 0.9983  3 Mg 2.77, 3 Zr 2.84, 6 Be 2.89
Zr1 0.7500 0.7500 0.7500  6 Be 2.84, 6 Zr 2.89
Be2 0.5017 0.5017 0.5017  3 Mg 2.77, 3 Zr 2.84, 6 Be 2.89
Mg1 0.2500 0.2500 0.2500  6 Be 2.77, 6 Mg 2.89

Output
Its total magnetization is 0.00 μB/f.u. The value obtained for the formation energy from the elements is 187 kJ/mol of formula units. Its space group is R-3m.

***

Tl2ReRu: optimized geometry, PBE.

Lattice parameters (Å, degrees): 4.7956 4.7956 5.4483 79.82 79.82 36.95
Last column: nearest neighbours and their distance in Å.
Sites, in units of the cell vectors:
Ru1 0.7500 0.7500 0.7500  6 Tl 2.84-2.86, 2 Ru 3.04, 4 Re 3.12
Re1 0.2500 0.2500 0.2500  6 Tl 2.86-2.88, 2 Re 3.04, 4 Ru 3.12
Tl1 0.0021 0.0021 0.9963  3 Ru 2.84-2.86, 3 Re 2.86-2.88, 6 Tl 3.04-3.15
Tl2 0.4979 0.4979 0.5037  3 Ru 2.84-2.86, 3 Re 2.86-2.88, 6 Tl 3.04-3.15

Output
The value obtained for the energy above the most stable polymorph in this dataset is 535 meV/atom. Its total magnetization is 0.00 μB/f.u. The value obtained for the formation energy from the elements is 374 kJ/mol of formula units. Its space group is C2/m.

***

Fe2HgW: optimized geometry, PBE.

Lattice parameters (Å, degrees): 3.0174 3.0172 6.3775 90.00 90.00 90.00
Last column: nearest neighbours and their distance in Å.
Sites, in units of the cell vectors:
W1 0.5000 0.5000 0.7500  8 Fe 2.52
Fe1 0.0000 0.0000 0.9604  4 W 2.52, 1 Fe 2.68, 4 Hg 2.82
Hg1 0.5000 0.5000 0.2500  8 Fe 2.82, 4 Hg 3.02
Fe2 0.0000 0.0000 0.5396  4 W 2.52, 1 Fe 2.68, 4 Hg 2.82

Output
Its total magnetization is 0.29 μB/f.u. The value obtained for the formation energy from the elements is 136 kJ/mol of formula units. Its space group is P4/mmm.

***

HoPaPd2: optimized geometry, PBE.

Lattice parameters (Å, degrees): 3.3868 3.3868 7.4464 90.00 90.00 90.00
Last column: nearest neighbours and their distance in Å.
Sites, in units of the cell vectors:
Pd1 0.0000 0.0000 0.2581  4 Ho 3.00, 4 Pa 3.07
Ho1 0.5000 0.5000 0.5000  8 Pd 3.00
Pd2 0.0000 0.0000 0.7419  4 Ho 3.00, 4 Pa 3.07
Pa1 0.5000 0.5000 0.0000  8 Pd 3.07, 4 Pa 3.39

Output
The value obtained for the energy above the most stable polymorph in this dataset is 0 meV/atom. Its total magnetization is 1.09 μB/f.u. The value obtained for the formation energy from the elements is -232 kJ/mol of formula units. Its space group is P4/mmm.

***

LiTmTe2: optimized geometry, PBE.

Lattice parameters (Å, degrees): 4.2009 4.2009 14.7333 90.00 90.00 120.00
Last column: nearest neighbours and their distance in Å.
Sites, in units of the cell vectors:
Li1 0.0000 0.0000 0.5000  6 Te 3.01
Tm1 0.6667 0.3333 0.2500  6 Te 3.08
Li2 0.0000 0.0000 0.0000  6 Te 3.01
Te1 0.3333 0.6667 0.3786  3 Li 3.01, 3 Tm 3.08
Te2 0.6667 0.3333 0.6214  3 Li 3.01, 3 Tm 3.08
Te3 0.6667 0.3333 0.8786  3 Li 3.01, 3 Tm 3.08
Tm2 0.3333 0.6667 0.7500  6 Te 3.08
Te4 0.3333 0.6667 0.1214  3 Li 3.01, 3 Tm 3.08

Output
Its total magnetization is 0.00 μB/f.u. The uncorrected formation energy comes out at -113.5 kJ/mol of atoms. Its space group is P6_3/mmc.